No. 1
# Rb3Tm2CrSe6

Crystalline Rb3Tm2CrSe6 at its relaxed geometry (GGA-PBE, Alexandria).

Structure (CIF):
```
data_Rb3Tm2CrSe6
_space_group_name_H-M_alt 'C 1 2/m 1'
_space_group_IT_number 12
_cell_length_a 7.0777
_cell_length_b 12.2667
_cell_length_c 8.2948
_cell_angle_alpha 90.00
_cell_angle_beta 106.62
_cell_angle_gamma 90.00
loop_
_space_group_symop_operation_xyz
'x,y,z'
'-x,-y,-z'
'-x,y,-z'
'x,-y,z'
'x+1/2,y+1/2,z'
'-x+1/2,-y+1/2,-z'
'-x+1/2,y+1/2,-z'
'x+1/2,-y+1/2,z'
loop_
_atom_site_label
_atom_site_type_symbol
_atom_site_fract_x
_atom_site_fract_y
_atom_site_fract_z
_atom_site_occupancy
Rb1 Rb 0.0000 0.0000 0.0000 1
Rb2 Rb 0.0000 0.3287 0.0000 1
Tm1 Tm 0.0000 0.1662 0.5000 1
Cr1 Cr 0.0000 0.5000 0.5000 1
Se1 Se 0.2179 0.3440 0.6857 1
Se2 Se 0.2490 0.5000 0.3125 1
```


No. 2
# Rb3U3CrSe8

Crystalline Rb3U3CrSe8 at its relaxed geometry (GGA-PBE, Alexandria).

Structure (CIF):
```
data_Rb3U3CrSe8
_space_group_name_H-M_alt 'R -3 m'
_space_group_IT_number 166
_space_group_name_Hall '-R 3 2"'
_cell_length_a 8.2096
_cell_length_b 8.2096
_cell_length_c 24.6848
_cell_angle_alpha 90.00
_cell_angle_beta 90.00
_cell_angle_gamma 120.00
loop_
_atom_site_label
_atom_site_type_symbol
_atom_site_fract_x
_atom_site_fract_y
_atom_site_fract_z
_atom_site_occupancy
Rb1 Rb 0.0000 0.5000 0.0000 1
U1 U 0.0000 0.5000 0.5000 1
Cr1 Cr 0.0000 0.0000 0.5000 1
Se1 Se 0.0000 0.0000 0.2335 1
Se2 Se 0.0126 0.5063 0.2287 1
```


No. 3
# Rb3UCr2Se6

Crystalline Rb3UCr2Se6 at its relaxed geometry (GGA-PBE, Alexandria).

Structure (CIF):
```
data_Rb3UCr2Se6
_space_group_name_H-M_alt 'C 1 2/m 1'
_space_group_IT_number 12
_cell_length_a 6.9453
_cell_length_b 12.0220
_cell_length_c 8.2791
_cell_angle_alpha 90.00
_cell_angle_beta 106.29
_cell_angle_gamma 90.00
loop_
_space_group_symop_operation_xyz
'x,y,z'
'-x,-y,-z'
'-x,y,-z'
'x,-y,z'
'x+1/2,y+1/2,z'
'-x+1/2,-y+1/2,-z'
'-x+1/2,y+1/2,-z'
'x+1/2,-y+1/2,z'
loop_
_atom_site_label
_atom_site_type_symbol
_atom_site_fract_x
_atom_site_fract_y
_atom_site_fract_z
_atom_site_occupancy
Rb1 Rb 0.0000 0.0000 0.0000 1
Rb2 Rb 0.0000 0.3366 0.0000 1
U1 U 0.0000 0.5000 0.5000 1
Cr1 Cr 0.0000 0.1668 0.5000 1
Se1 Se 0.2084 0.0000 0.6815 1
Se2 Se 0.2369 0.3239 0.6829 1
```


No. 4
# Rb3U2CrSe6

Crystalline Rb3U2CrSe6 at its relaxed geometry (GGA-PBE, Alexandria).

Structure (CIF):
```
data_Rb3U2CrSe6
_space_group_name_H-M_alt 'C 1 2/m 1'
_space_group_IT_number 12
_cell_length_a 7.2478
_cell_length_b 12.5446
_cell_length_c 8.3439
_cell_angle_alpha 90.00
_cell_angle_beta 106.81
_cell_angle_gamma 90.00
loop_
_space_group_symop_operation_xyz
'x,y,z'
'-x,-y,-z'
'-x,y,-z'
'x,-y,z'
'x+1/2,y+1/2,z'
'-x+1/2,-y+1/2,-z'
'-x+1/2,y+1/2,-z'
'x+1/2,-y+1/2,z'
loop_
_atom_site_label
_atom_site_type_symbol
_atom_site_fract_x
_atom_site_fract_y
_atom_site_fract_z
_atom_site_occupancy
Rb1 Rb 0.0000 0.0000 0.0000 1
Rb2 Rb 0.0000 0.3338 0.0000 1
U1 U 0.0000 0.1667 0.5000 1
Cr1 Cr 0.0000 0.5000 0.5000 1
Se1 Se 0.2273 0.3365 0.6914 1
Se2 Se 0.2360 0.0000 0.6918 1
```


No. 5
# Rb2UCr2Se6

Crystalline Rb2UCr2Se6 at its relaxed geometry (GGA-PBE, Alexandria).

Structure (CIF):
```
data_Rb2UCr2Se6
_space_group_name_H-M_alt 'C 1 2/m 1'
_space_group_IT_number 12
_cell_length_a 6.6260
_cell_length_b 11.6007
_cell_length_c 8.4804
_cell_angle_alpha 90.00
_cell_angle_beta 104.23
_cell_angle_gamma 90.00
loop_
_space_group_symop_operation_xyz
'x,y,z'
'-x,-y,-z'
'-x,y,-z'
'x,-y,z'
'x+1/2,y+1/2,z'
'-x+1/2,-y+1/2,-z'
'-x+1/2,y+1/2,-z'
'x+1/2,-y+1/2,z'
loop_
_atom_site_label
_atom_site_type_symbol
_atom_site_fract_x
_atom_site_fract_y
_atom_site_fract_z
_atom_site_occupancy
Rb1 Rb 0.0000 0.1620 0.0000 1
U1 U 0.0000 0.0000 0.5000 1
Cr1 Cr 0.0000 0.3331 0.5000 1
Se1 Se 0.1972 0.5000 0.6807 1
Se2 Se 0.2345 0.1781 0.6791 1
```


No. 6
# RbUCrSe4

Crystalline RbUCrSe4 at its relaxed geometry (GGA-PBE, Alexandria).

Structure (CIF):
```
data_RbUCrSe4
_space_group_name_H-M_alt 'I m m a'
_space_group_IT_number 74
_space_group_name_Hall '-I 2b 2'
_cell_length_a 8.1516
_cell_length_b 9.3273
_cell_length_c 10.8193
_cell_angle_alpha 90.00
_cell_angle_beta 90.00
_cell_angle_gamma 90.00
loop_
_atom_site_label
_atom_site_type_symbol
_atom_site_fract_x
_atom_site_fract_y
_atom_site_fract_z
_atom_site_occupancy
Rb1 Rb 0.0000 0.2500 0.1848 1
U1 U 0.0000 0.0000 0.5000 1
Cr1 Cr 0.2500 0.2500 0.7500 1
Se1 Se 0.0000 0.0762 0.7546 1
Se2 Se 0.2120 0.2500 0.5086 1
```


No. 7
# Rb3Y3CrSe8

Crystalline Rb3Y3CrSe8 at its relaxed geometry (GGA-PBE, Alexandria).

Structure (CIF):
```
data_Rb3Y3CrSe8
_space_group_name_H-M_alt 'C 1 2/m 1'
_space_group_IT_number 12
_cell_length_a 14.1034
_cell_length_b 8.1425
_cell_length_c 9.5006
_cell_angle_alpha 90.00
_cell_angle_beta 119.69
_cell_angle_gamma 90.00
loop_
_space_group_symop_operation_xyz
'x,y,z'
'-x,-y,-z'
'-x,y,-z'
'x,-y,z'
'x+1/2,y+1/2,z'
'-x+1/2,-y+1/2,-z'
'-x+1/2,y+1/2,-z'
'x+1/2,-y+1/2,z'
loop_
_atom_site_label
_atom_site_type_symbol
_atom_site_fract_x
_atom_site_fract_y
_atom_site_fract_z
_atom_site_occupancy
Rb1 Rb 0.0000 0.0000 0.0000 1
Rb2 Rb 0.2500 0.2500 0.0000 1
Y1 Y 0.0000 0.5000 0.5000 1
Y2 Y 0.2500 0.2500 0.5000 1
Cr1 Cr 0.0000 0.0000 0.5000 1
Se1 Se 0.0151 0.2289 0.3177 1
Se2 Se 0.2134 0.0000 0.6821 1
Se3 Se 0.2329 0.5000 0.6982 1
```


No. 8
# Rb3Y2CrSe6

Crystalline Rb3Y2CrSe6 at its relaxed geometry (GGA-PBE, Alexandria).

Structure (CIF):
```
data_Rb3Y2CrSe6
_space_group_name_H-M_alt 'C 1 2/m 1'
_space_group_IT_number 12
_cell_length_a 7.1444
_cell_length_b 12.3833
_cell_length_c 8.3129
_cell_angle_alpha 90.00
_cell_angle_beta 106.76
_cell_angle_gamma 90.00
loop_
_space_group_symop_operation_xyz
'x,y,z'
'-x,-y,-z'
'-x,y,-z'
'x,-y,z'
'x+1/2,y+1/2,z'
'-x+1/2,-y+1/2,-z'
'-x+1/2,y+1/2,-z'
'x+1/2,-y+1/2,z'
loop_
_atom_site_label
_atom_site_type_symbol
_atom_site_fract_x
_atom_site_fract_y
_atom_site_fract_z
_atom_site_occupancy
Rb1 Rb 0.0000 0.0000 0.0000 1
Rb2 Rb 0.0000 0.3282 0.0000 1
Y1 Y 0.0000 0.1661 0.5000 1
Cr1 Cr 0.0000 0.5000 0.5000 1
Se1 Se 0.2167 0.3456 0.6871 1
Se2 Se 0.2452 0.5000 0.3110 1
```


No. 9
# Rb2Zn2CrSe4

Crystalline Rb2Zn2CrSe4 at its relaxed geometry (GGA-PBE, Alexandria).

Structure (CIF):
```
data_Rb2Zn2CrSe4
_space_group_name_H-M_alt 'C 1 2/m 1'
_space_group_IT_number 12
_cell_length_a 16.7599
_cell_length_b 3.9571
_cell_length_c 7.7486
_cell_angle_alpha 90.00
_cell_angle_beta 106.95
_cell_angle_gamma 90.00
loop_
_space_group_symop_operation_xyz
'x,y,z'
'-x,-y,-z'
'-x,y,-z'
'x,-y,z'
'x+1/2,y+1/2,z'
'-x+1/2,-y+1/2,-z'
'-x+1/2,y+1/2,-z'
'x+1/2,-y+1/2,z'
loop_
_atom_site_label
_atom_site_type_symbol
_atom_site_fract_x
_atom_site_fract_y
_atom_site_fract_z
_atom_site_occupancy
Rb1 Rb 0.1230 0.0000 0.0331 1
Zn1 Zn 0.1727 0.5000 0.4906 1
Cr1 Cr 0.0000 0.0000 0.5000 1
Se1 Se 0.0258 0.5000 0.3018 1
Se2 Se 0.2183 0.0000 0.6899 1
```


No. 10
# RbZnCrSe3

Crystalline RbZnCrSe3 at its relaxed geometry (GGA-PBE, Alexandria).

Structure (CIF):
```
data_RbZnCrSe3
_space_group_name_H-M_alt 'P 1 21/m 1'
_space_group_IT_number 11
_cell_length_a 8.8362
_cell_length_b 3.9241
_cell_length_c 9.9347
_cell_angle_alpha 90.00
_cell_angle_beta 112.91
_cell_angle_gamma 90.00
loop_
_space_group_symop_operation_xyz
'x,y,z'
'-x,-y,-z'
'-x,y+1/2,-z'
'x,-y+1/2,z'
loop_
_atom_site_label
_atom_site_type_symbol
_atom_site_fract_x
_atom_site_fract_y
_atom_site_fract_z
_atom_site_occupancy
Rb1 Rb 0.2219 0.2500 0.2452 1
Zn1 Zn 0.0842 0.2500 0.6099 1
Cr1 Cr 0.3351 0.7500 0.8616 1
Se1 Se 0.1381 0.2500 0.8665 1
Se2 Se 0.2269 0.7500 0.5578 1
Se3 Se 0.4756 0.7500 0.1343 1
```


No. 11
# RbZnCr2Se

Crystalline RbZnCr2Se at its relaxed geometry (GGA-PBE, Alexandria).

Structure (CIF):
```
data_RbZnCr2Se
_space_group_name_H-M_alt 'P 4/m m m'
_space_group_IT_number 123
_space_group_name_Hall '-P 4 2'
_cell_length_a 5.3627
_cell_length_b 5.3627
_cell_length_c 5.7720
_cell_angle_alpha 90.00
_cell_angle_beta 90.00
_cell_angle_gamma 90.00
loop_
_atom_site_label
_atom_site_type_symbol
_atom_site_fract_x
_atom_site_fract_y
_atom_site_fract_z
_atom_site_occupancy
Rb1 Rb 0.0000 0.0000 0.0000 1
Zn1 Zn 0.5000 0.5000 0.5000 1
Cr1 Cr 0.0000 0.5000 0.0000 1
Se1 Se 0.0000 0.0000 0.5000 1
```


| no. | ΔE_f (raw) (kJ per mole of atoms) |
| --- | --- |
| 1 | -133.0 |
| 2 | -107.1 |
| 3 | -89.5 |
| 4 | -102.7 |
| 5 | -91.7 |
| 6 | -81.2 |
| 7 | -137.0 |
| 8 | -133.9 |
| 9 | -77.5 |
| 10 | -74.8 |
| 11 | 267.9 |